# 1
! PBE Sr2AcAu9, optimized geometry; values from VASP
! **Fermi-level density of states**: 0.6003 states/eV per atom
! **Energy of formation from the pure elements**: -550 meV per atom
&SYSTEM
  ibrav = 0, nat = 12, ntyp = 3
/
ATOMIC_SPECIES
Sr 87.62 Sr.upf
Ac 227.00 Ac.upf
Au 196.97 Au.upf
ATOMIC_POSITIONS angstrom
Sr 0.0000 0.0000 4.0857
Sr 0.0000 0.0000 24.5650
Ac 0.0000 0.0000 0.0000
Au -1.4443 -0.8339 11.9558
Au 0.0000 0.0000 9.5221
Au 0.0000 -1.6678 16.6949
Au -1.4443 0.8339 16.6949
Au 0.0000 0.0000 14.3253
Au 1.4443 -0.8339 11.9557
Au 0.0000 1.6678 11.9557
Au 0.0000 0.0000 19.1285
Au 1.4443 0.8339 16.6949
CELL_PARAMETERS angstrom
2.8785 1.6619 9.5502
-2.8785 1.6619 9.5502
0.0000 -3.3238 9.5502

***

# 2
! PBE SrAc2Au2, optimized geometry; values from VASP
! **Fermi-level density of states**: 1.1193 states/eV per atom
! **Energy of formation from the pure elements**: -644 meV per atom
&SYSTEM
  ibrav = 0, nat = 10, ntyp = 3
/
ATOMIC_SPECIES
Sr 87.62 Sr.upf
Ac 227.00 Ac.upf
Au 196.97 Au.upf
ATOMIC_POSITIONS angstrom
Sr 0.0000 0.0000 0.0000
Sr 4.4210 4.4210 0.0000
Ac 1.3972 3.0238 2.1153
Ac 3.0238 7.4448 2.1153
Ac 5.8182 1.3972 2.1153
Ac 7.4448 5.8182 2.1153
Au 1.1973 5.6183 0.0000
Au 3.2237 1.1973 0.0000
Au 5.6183 7.6447 0.0000
Au 7.6447 3.2237 0.0000
CELL_PARAMETERS angstrom
8.8420 0.0000 0.0000
0.0000 8.8420 0.0000
0.0000 0.0000 4.2307

***

# 3
! PBE Sr2AcAu, optimized geometry; values from VASP
! **ΔE to the lowest computed polymorph**: 0.57 eV/f.u.
! **Fermi-level density of states**: 0.7956 states/eV per atom
! **Energy of formation from the pure elements**: -175 meV per atom
&SYSTEM
  ibrav = 0, nat = 4, ntyp = 3
/
ATOMIC_SPECIES
Sr 87.62 Sr.upf
Ac 227.00 Ac.upf
Au 196.97 Au.upf
ATOMIC_POSITIONS angstrom
Sr 0.0000 0.0000 3.9642
Sr 0.0000 0.0000 31.6124
Ac 0.0000 0.0000 0.0000
Au 0.0000 0.0000 17.7883
CELL_PARAMETERS angstrom
2.0724 1.1965 11.8588
-2.0724 1.1965 11.8588
0.0000 -2.3930 11.8588

***

Spin magnetization per entry: 0.00 0.00 0.00 μB per formula unit